[1]
Entry from the Alexandria database: an optimized crystal structure of Sm2MgGa2Rh5 (PBE).

Structure (extended XYZ):
```
20
Lattice="-2.729 2.225 -0.511 -3.960 -2.865 8.677 5.016 7.223 4.674" Properties=species:S:1:pos:R:3 pbc="T T T"
Rh 2.346 6.647 4.036
Rh 1.144 4.724 2.082
Rh 0.322 4.373 4.938
Rh 0.174 5.578 10.983
Rh -3.344 -0.320 4.083
Rh -1.995 2.212 7.902
Rh -4.018 -0.063 8.805
Rh -1.608 1.989 4.867
Rh -1.846 1.006 1.857
Rh -0.064 4.595 7.973
Sm 0.941 1.851 3.036
Sm -1.796 -0.672 6.669
Sm 0.115 2.508 10.315
Sm 2.852 5.030 6.682
Mg 0.528 2.179 6.676
Mg 0.000 0.000 0.000
Ga -1.583 0.207 9.360
Ga 2.639 4.152 3.991
Ga -0.868 -0.182 3.843
Ga 1.924 4.541 9.508
```

## Properties
Spin magnetization in μB per cell: 0.0
D(E_F) in states/eV per cell: 9.24
Formation energy from the elements in eV per formula unit: -7.06
Symmetry: P4/mbm
Total energy in Ry/atom: -0.4477

[2]
Entry from the Alexandria database: an optimized crystal structure of NaCa2YNi (PBE).

Structure (extended XYZ):
```
5
Lattice="-3.950 2.374 2.776 -3.384 -4.109 -1.301 1.518 -2.652 4.428" Properties=species:S:1:pos:R:3 pbc="T T T"
Y -2.908 -2.193 2.952
Ca -1.975 1.187 1.388
Ca 0.759 -1.326 2.214
Na -1.692 -2.054 -0.650
Ni 0.000 0.000 0.000
```

## Properties
Spin magnetization in μB per cell: 0.0
D(E_F) in states/eV per cell: 3.55
Formation energy from the elements in eV per formula unit: 1.57
Symmetry: P4/mmm
Total energy in Ry/atom: -0.2352
Excess energy over the best structure of this formula in the dataset in meV/atom: 334

[3]
Entry from the Alexandria database: an optimized crystal structure of Cr2CoAu (PBE).

Structure (extended XYZ):
```
4
Lattice="3.659 0.000 0.000 0.000 2.682 -0.009 0.000 2.703 5.352" Properties=species:S:1:pos:R:3 pbc="T T T"
Cr 0.000 2.703 5.063
Cr 0.000 2.693 2.961
Au 1.829 1.346 1.336
Co 1.829 4.039 4.008
```

## Properties
Spin magnetization in μB per cell: 1.5
D(E_F) in states/eV per cell: 3.93
Formation energy from the elements in eV per formula unit: 0.93
Symmetry: Pmmm
Total energy in Ry/atom: -0.5274
Excess energy over the best structure of this formula in the dataset in meV/atom: 66

no.,V (Å³/atom)
1,17.6
2,31.7
3,13.2